(1)
VASP calculation (PBE+U) on a relaxed MgNiO crystal.

Structure (POSCAR):
```
MgNiO
1.0
2.891 -4.260 0.000
2.891 4.260 0.000
0.000 0.000 2.885
Mg Ni O
2 2 2
Direct
0.249 0.751 0.000
0.751 0.249 0.000
0.251 0.251 0.500
0.749 0.749 0.500
0.000 0.500 0.500
0.500 0.000 0.500
```

SG: Cmmm (65)
Calculated total energy, eV per atom: -4.13



(2)
VASP calculation (PBE+U) on a relaxed MgNiO crystal.

Structure (POSCAR):
```
MgNiO
1.0
3.481 0.000 0.000
-1.741 3.015 0.000
0.000 0.000 6.642
Mg Ni O
2 2 2
Direct
0.000 0.000 0.000
0.000 0.000 0.500
0.333 0.667 0.250
0.667 0.333 0.750
0.333 0.667 0.750
0.667 0.333 0.250
```

SG: P6_3/mmc (194)
Calculated total energy, eV per atom: -3.15



(3)
VASP calculation (PBE+U) on a relaxed MgNiO crystal.

Structure (POSCAR):
```
MgNiO
1.0
3.138 0.000 0.000
0.000 3.174 0.000
0.000 0.000 7.816
Mg Ni O
2 2 2
Direct
0.000 0.000 0.000
0.500 0.500 0.313
0.000 0.000 0.614
0.500 0.500 0.774
0.000 0.500 0.152
0.500 0.000 0.454
```

SG: Pmm2 (25)
Calculated total energy, eV per atom: -4.06